DFT (GGA-PBE) results for Tb3Zn2Au after structural relaxation.

a = 3.597 Å, b = 3.597 Å, c = 10.699 Å
α = 90.00°, β = 90.00°, γ = 90.00°
Fractional positions:
Tb (0.000, 0.000, 0.000)
Tb (0.000, 0.000, 0.331)
Tb (0.000, 0.000, 0.669)
Zn (0.500, 0.500, 0.161)
Zn (0.500, 0.500, 0.839)
Au (0.500, 0.500, 0.500)

Output
Symmetry: P4/mmm


DFT (GGA-PBE) results for Y2Zr4Al3N3 after structural relaxation.

a = 5.768 Å, b = 5.768 Å, c = 14.878 Å
α = 101.30°, β = 101.30°, γ = 59.97°
Fractional positions:
Y (0.036, 0.873, 0.607)
Y (0.127, 0.964, 0.893)
Y (0.873, 0.036, 0.107)
Y (0.964, 0.127, 0.393)
Zr (0.193, 0.355, 0.082)
Zr (0.300, 0.480, 0.418)
Zr (0.355, 0.193, 0.582)
Zr (0.480, 0.300, 0.918)
Zr (0.520, 0.700, 0.082)
Zr (0.645, 0.807, 0.418)
Zr (0.700, 0.520, 0.582)
Zr (0.807, 0.645, 0.918)
Al (0.085, 0.398, 0.751)
Al (0.398, 0.085, 0.251)
Al (0.432, 0.568, 0.250)
Al (0.568, 0.432, 0.750)
Al (0.602, 0.915, 0.749)
Al (0.915, 0.602, 0.249)
N (0.000, 0.500, 0.500)
N (0.167, 0.666, 0.000)
N (0.334, 0.833, 0.500)
N (0.500, 0.000, 0.000)
N (0.666, 0.167, 0.500)
N (0.833, 0.334, 0.000)

Output
Symmetry: C2/c


DFT (GGA-PBE) results for TmAgPbSe3 after structural relaxation.

a = 12.212 Å, b = 4.196 Å, c = 12.165 Å
α = 90.00°, β = 90.00°, γ = 90.00°
Fractional positions:
Tm (0.028, 0.250, 0.172)
Tm (0.472, 0.750, 0.672)
Tm (0.528, 0.250, 0.328)
Tm (0.972, 0.750, 0.828)
Ag (0.242, 0.750, 0.314)
Ag (0.258, 0.250, 0.814)
Ag (0.742, 0.750, 0.186)
Ag (0.758, 0.250, 0.686)
Pb (0.169, 0.250, 0.509)
Pb (0.331, 0.750, 0.009)
Pb (0.669, 0.250, 0.991)
Pb (0.831, 0.750, 0.491)
Se (0.028, 0.750, 0.344)
Se (0.085, 0.250, 0.933)
Se (0.243, 0.750, 0.670)
Se (0.257, 0.250, 0.170)
Se (0.415, 0.750, 0.433)
Se (0.472, 0.250, 0.844)
Se (0.528, 0.750, 0.156)
Se (0.585, 0.250, 0.567)
Se (0.743, 0.750, 0.830)
Se (0.757, 0.250, 0.330)
Se (0.915, 0.750, 0.067)
Se (0.972, 0.250, 0.656)

Output
Energy above the most stable polymorph in this dataset, meV per atom: 64
Symmetry: Pnma


DFT (GGA-PBE) results for Pr2DyMg3Hg2Au after structural relaxation.

a = 4.272 Å, b = 7.862 Å, c = 7.862 Å
α = 119.96°, β = 90.00°, γ = 90.00°
Fractional positions:
Pr (0.000, 0.203, 0.797)
Pr (0.000, 0.797, 0.203)
Dy (0.000, 0.394, 0.394)
Mg (0.500, 0.036, 0.036)
Mg (0.500, 0.558, 0.794)
Mg (0.500, 0.794, 0.558)
Hg (0.500, 0.139, 0.461)
Hg (0.500, 0.461, 0.139)
Au (0.000, 0.791, 0.791)

Output
Symmetry: Amm2


DFT (GGA-PBE) results for Y2Sn3W4N3 after structural relaxation.

a = 5.788 Å, b = 5.788 Å, c = 13.903 Å
α = 101.87°, β = 101.87°, γ = 60.41°
Fractional positions:
Y (0.033, 0.865, 0.604)
Y (0.135, 0.967, 0.896)
Y (0.865, 0.033, 0.104)
Y (0.967, 0.135, 0.396)
Sn (0.079, 0.325, 0.749)
Sn (0.325, 0.079, 0.249)
Sn (0.484, 0.516, 0.750)
Sn (0.516, 0.484, 0.250)
Sn (0.675, 0.921, 0.751)
Sn (0.921, 0.675, 0.251)
W (0.191, 0.368, 0.072)
W (0.320, 0.465, 0.428)
W (0.368, 0.191, 0.572)
W (0.465, 0.320, 0.928)
W (0.535, 0.680, 0.072)
W (0.632, 0.809, 0.428)
W (0.680, 0.535, 0.572)
W (0.809, 0.632, 0.928)
N (0.000, 0.500, 0.500)
N (0.165, 0.671, 0.000)
N (0.329, 0.835, 0.500)
N (0.500, 0.000, 0.000)
N (0.671, 0.165, 0.500)
N (0.835, 0.329, 0.000)

Output
Symmetry: C2/c


DFT (GGA-PBE) results for TmLuCdC after structural relaxation.

a = 3.494 Å, b = 3.494 Å, c = 16.184 Å
α = 90.00°, β = 90.00°, γ = 120.00°
Fractional positions:
Tm (0.333, 0.667, 0.083)
Tm (0.667, 0.333, 0.917)
Lu (0.333, 0.667, 0.419)
Lu (0.667, 0.333, 0.581)
Cd (0.333, 0.667, 0.749)
Cd (0.667, 0.333, 0.251)
C (0.000, 0.000, 0.000)
C (0.000, 0.000, 0.500)

Output
Symmetry: P-3m1


For reference, calculated total energy by record: -3.805; -8.044; -4.479; -3.000; -8.703; -5.130 eV/atom.